The following is a DFT calculation (GGA-PBE) of KBaH2 after structural relaxation.

a b c (Å): 4.008 4.008 20.609
angles (deg): 90.00 90.00 120.00
Element x y z (fractional)
K 0.000 0.000 0.000
K 0.333 0.667 0.667
K 0.667 0.333 0.333
Ba 0.000 0.000 0.500
Ba 0.333 0.667 0.167
Ba 0.667 0.333 0.833
H 0.000 0.000 0.247
H 0.000 0.000 0.753
H 0.333 0.667 0.420
H 0.333 0.667 0.914
H 0.667 0.333 0.086
H 0.667 0.333 0.580

Summary:
**Uncorrected energy**: -2.641 eV per atom

=====

The following is a DFT calculation (GGA-PBE) of ScGePt2Rh after structural relaxation.

a b c (Å): 4.961 4.961 4.547
angles (deg): 90.00 90.00 90.00
Element x y z (fractional)
Sc 0.000 0.000 0.000
Ge 0.500 0.500 0.000
Pt 0.000 0.500 0.500
Pt 0.500 0.000 0.500
Rh 0.000 0.000 0.500

Summary:
**Calculated formation energy**: 0.491 eV/atom
**Uncorrected energy**: -5.586 eV per atom

=====

The following is a DFT calculation (GGA-PBE) of AgIrOs2 after structural relaxation.

a b c (Å): 2.731 3.954 5.603
angles (deg): 90.00 90.00 90.00
Element x y z (fractional)
Ag 0.000 0.000 0.000
Ir 0.000 0.000 0.500
Os 0.500 0.500 0.269
Os 0.500 0.500 0.731

Summary:
**Calculated formation energy**: 0.565 eV/atom
**Uncorrected energy**: -7.978 eV per atom